! Tl2Pd3S2, relaxed, DFT PBEsol; values from VASP
! - formation energy without anion corrections (meV per atom) = -385
! - final energy (eV per cell) = -34.602
&SYSTEM
  ibrav = 0, nat = 7, ntyp = 3
/
ATOMIC_SPECIES
Tl 204.38 Tl.upf
Pd 106.42 Pd.upf
S 32.06 S.upf
CELL_PARAMETERS angstrom
2.892 1.669 4.650
-2.892 1.669 4.650
0.000 -3.339 4.650
ATOMIC_POSITIONS crystal
Tl 0.000 0.000 0.000
Tl 0.500 0.500 0.500
Pd 0.000 0.500 0.500
Pd 0.500 0.000 0.500
Pd 0.500 0.500 0.000
S 0.218 0.218 0.218
S 0.782 0.782 0.782